A plane-wave DFT calculation with meta-GGA SCAN was carried out for a crystal of BaHg relaxed with PBEsol.

Results
Volume (Å³/atom): 37.52
Symmetry: Cm, No. 8

Cell and atoms, written as POSCAR:
```
BaHg
1.0
6.1323 -2.1581 0.0000
6.1323 2.1581 0.0000
-3.1481 0.0000 8.5055
Ba Hg
3 3
direct
0.0000 0.0000 0.0000
0.6548 0.6548 0.6977
0.8227 0.8227 0.3497
0.2861 0.2861 0.0160
0.3677 0.3677 0.6755
0.5304 0.5304 0.3054
```



A plane-wave DFT calculation with meta-GGA SCAN was carried out for a crystal of BaHgI2 relaxed with PBEsol.

Results
Formation energy (no corrections) (meV/atom): -1414
Volume (Å³/atom): 36.12
Symmetry: Fm-3m, No. 225

Cell and atoms, written as POSCAR:
```
BaHgI2
1.0
0.0000 4.1649 4.1649
4.1649 0.0000 4.1649
4.1649 4.1649 0.0000
Ba Hg I
1 1 2
direct
0.0000 0.0000 0.0000
0.5000 0.5000 0.5000
0.2500 0.2500 0.2500
0.7500 0.7500 0.7500
```



A plane-wave DFT calculation with meta-GGA SCAN was carried out for a crystal of BaNa2HgI relaxed with PBEsol.

Results
Formation energy (no corrections) (meV/atom): -326
Volume (Å³/atom): 45.75
Symmetry: P4/mmm, No. 123

Cell and atoms, written as POSCAR:
```
BaNa2HgI
1.0
5.6562 0.0000 0.0000
0.0000 5.6562 0.0000
0.0000 0.0000 7.1495
Ba Na Hg I
1 2 1 1
direct
0.0000 0.0000 0.0000
0.0000 0.5000 0.5000
0.5000 0.0000 0.5000
0.5000 0.5000 0.0000
0.5000 0.5000 0.5000
```



A plane-wave DFT calculation with meta-GGA SCAN was carried out for a crystal of Ba2ZnHgI relaxed with PBEsol.

Results
Formation energy (no corrections) (meV/atom): -238
Volume (Å³/atom): 42.92
Symmetry: P4/mmm, No. 123

Cell and atoms, written as POSCAR:
```
Ba2ZnHgI
1.0
6.1237 0.0000 0.0000
0.0000 6.1237 0.0000
0.0000 0.0000 5.7232
Ba Zn Hg I
2 1 1 1
direct
0.0000 0.5000 0.0000
0.5000 0.0000 0.0000
0.0000 0.0000 0.0000
0.5000 0.5000 0.5000
0.0000 0.0000 0.5000
```



A plane-wave DFT calculation with meta-GGA SCAN was carried out for a crystal of Ba3InHg10 relaxed with PBEsol.

Results
Volume (Å³/atom): 27.32
Symmetry: Immm, No. 71

Cell and atoms, written as POSCAR:
```
Ba3InHg10
1.0
-2.5731 4.9793 7.4635
2.5731 -4.9793 7.4635
2.5731 4.9793 -7.4635
Ba In Hg
3 1 10
direct
0.0000 0.0000 0.0000
0.2976 0.2976 0.0000
0.7024 0.7024 0.0000
0.5000 0.0000 0.5000
0.0178 0.6611 0.3567
0.1462 0.8594 0.2868
0.3044 0.6611 0.6433
0.3178 0.5000 0.8178
0.4275 0.1406 0.2868
0.5725 0.8594 0.7132
0.6822 0.5000 0.1822
0.6956 0.3389 0.3567
0.8538 0.1406 0.7132
0.9822 0.3389 0.6433
```



A plane-wave DFT calculation with meta-GGA SCAN was carried out for a crystal of BaInHg2 relaxed with PBEsol.

Results
Volume (Å³/atom): 29.85
Symmetry: C2/m, No. 12

Cell and atoms, written as POSCAR:
```
BaInHg2
1.0
4.2785 -2.4661 0.0000
4.2785 2.4661 0.0000
-2.8475 0.0000 5.6573
Ba In Hg
1 1 2
direct
0.0000 0.0000 0.0000
0.5000 0.5000 0.5000
0.2203 0.2203 0.6609
0.7797 0.7797 0.3391
```



Computed uncorrected energy (eV per atom) in order:
-54.452; -46.714; -30.904; -39.743; -60.048; -52.833
Computed density of states at the Fermi level (states/eV/atom) in order:
0.758; 0.000; 0.644; 0.808; 0.451; 0.521
Computed total magnetization (μB per atom) in order:
0.00; 0.00; 0.18; 0.00; 0.00; 0.00